Entry from the Alexandria database: crystalline TaVTe3 at its relaxed geometry (PBE).

Structure (POSCAR):
```
TaVTe3
1.0
3.4176 0.0000 0.0000
0.0000 6.6445 -0.4456
0.0000 -3.7687 11.9984
Ta V Te
2 2 6
Cartesian
0.8544 -1.8086 7.7601 Ta
2.5632 4.6844 3.7927 Ta
0.8544 -0.1748 2.9106 V
2.5632 3.0506 8.6422 V
0.8544 -2.2207 10.5744 Te
2.5632 5.0965 0.9784 Te
0.8544 -0.1191 5.5298 Te
2.5632 2.9949 6.0230 Te
0.8544 0.9201 9.0006 Te
2.5632 1.9557 2.5522 Te
```

Values from the calculation:
magnetic moment	0.00	μB/cell
density	7.65	g cm⁻³
excess energy over the best structure of this formula in the dataset	0	meV/atom
space group	P2_1/m (11)
ΔE_f (raw)	-0.1101	eV per atom

=====

Entry from the Alexandria database: crystalline SrH2Cl at its relaxed geometry (PBE).

Structure (POSCAR):
```
SrH2Cl
1.0
0.0000 3.1086 3.1086
3.1086 0.0000 3.1086
3.1086 3.1086 0.0000
Sr H Cl
1 2 1
Cartesian
3.1086 3.1086 3.1086 Sr
1.5543 1.5543 1.5543 H
4.6629 4.6629 4.6629 H
0.0000 0.0000 0.0000 Cl
```

Values from the calculation:
magnetic moment	0.70	μB/cell
density	3.46	g cm⁻³
excess energy over the best structure of this formula in the dataset	278	meV/atom
space group	Fm-3m (225)

=====

Entry from the Alexandria database: crystalline Ca3TiTc at its relaxed geometry (PBE).

Structure (POSCAR):
```
Ca3TiTc
1.0
5.4292 0.0000 0.0000
0.0000 5.4292 0.0000
0.0000 0.0000 5.4292
Ca Tc Ti
3 1 1
Cartesian
0.0000 2.7146 0.0000 Ca
0.0000 0.0000 2.7146 Ca
2.7146 0.0000 0.0000 Ca
0.0000 0.0000 0.0000 Tc
2.7146 2.7146 2.7146 Ti
```

Values from the calculation:
E_form	0.974	eV/atom
magnetic moment	4.04	μB/cell
density	2.76	g cm⁻³
excess energy over the best structure of this formula in the dataset	0	meV/atom
space group	Pm-3m (221)

=====

Entry from the Alexandria database: crystalline Rb2TlSnPb6 at its relaxed geometry (PBE).

Structure (POSCAR):
```
Rb2TlSnPb6
1.0
-7.7287 0.3082 1.2052
-3.6497 -5.9518 3.5407
-1.3969 4.7773 15.2443
Rb Tl Sn Pb
4 2 2 12
Cartesian
-10.4382 -3.0309 10.1068 Rb
-2.3370 2.1646 9.8834 Rb
-9.1712 0.4904 17.3319 Rb
-3.6040 -1.3566 2.6583 Rb
-6.9407 -1.9703 6.8410 Tl
-5.8345 1.1040 13.1491 Tl
0.0000 0.0000 0.0000 Sn
-6.3876 -0.4331 9.9951 Sn
-8.9878 0.0307 8.0946 Pb
-6.5984 -3.6363 9.4627 Pb
-4.4604 -0.1498 7.3886 Pb
-3.7874 -0.8970 11.8956 Pb
-6.1769 2.7700 10.5274 Pb
-8.3148 -0.7165 12.6015 Pb
-7.9027 3.1045 14.3800 Pb
-5.4952 -0.5903 15.7585 Pb
-3.3411 2.9226 13.6687 Pb
-4.8725 -3.9708 5.6102 Pb
-7.2801 -0.2760 4.2317 Pb
-9.4342 -3.7889 6.3215 Pb
```

Values from the calculation:
E_form	0.076	eV/atom
magnetic moment	0.00	μB/cell
density	7.07	g cm⁻³
space group	R-3m (166)

=====

Q: What is the density in the third record?
A: 2.76 g cm⁻³